1.
Density functional theory data (PBE) for a relaxed structure of KRbPdS2.

Computed properties:
The volume is 28.9 Å³ per atom. The total energy comes out at -3.870 eV/atom. The formation energy without anion corrections is -767 meV per atom.

Cell lengths 5.9359, 7.5390, 6.4617 Å; angles 90.00, 90.00, 90.00 degrees
Last column: nearest neighbours and their distance in Å.
Space group Pmma (No. 51)
Unique sites:
K 0.2500 0.0000 0.0801 [2 per cell]  2 Pd 3.09, 2 S 3.13, 2 K 3.14
Rb 0.2500 0.5000 0.2902 [2 per cell]  2 S 3.24
Pd 0.0000 0.0000 0.5000 [2 per cell]  4 S 2.42
S 0.2500 0.2110 0.6623 [4 per cell]  2 Pd 2.42

2.
Density functional theory data (PBE) for a relaxed structure of KRb2SbPd.

Computed properties:
The volume is 44.1 Å³ per atom. The total energy comes out at -2.653 eV/atom. The formation energy without anion corrections is -183 meV per atom.

Cell lengths 6.5202, 6.5202, 5.1838 Å; angles 90.00, 90.00, 90.00 degrees
Last column: nearest neighbours and their distance in Å.
Space group P4/mmm (No. 123)
Unique sites:
K 0.0000 0.0000 0.0000 [1 per cell]  8 Rb 4.16, 4 Sb 4.61
Rb 0.0000 0.5000 0.5000 [2 per cell]  2 Pd 3.26
Sb 0.5000 0.5000 0.0000 [1 per cell]  2 Pd 2.59
Pd 0.5000 0.5000 0.5000 [1 per cell]  2 Sb 2.59

3.
Density functional theory data (PBE) for a relaxed structure of K2RbSbPd.

Computed properties:
The volume is 40.5 Å³ per atom. The total energy comes out at -2.733 eV/atom. The formation energy without anion corrections is -238 meV per atom.

Cell lengths 6.2474, 6.2474, 5.1875 Å; angles 90.00, 90.00, 90.00 degrees
Last column: nearest neighbours and their distance in Å.
Space group P4/mmm (No. 123)
Unique sites:
K 0.0000 0.5000 0.0000 [2 per cell]  2 Pd 3.12
Rb 0.0000 0.0000 0.5000 [1 per cell]  8 K 4.06, 4 Sb 4.42
Sb 0.5000 0.5000 0.5000 [1 per cell]  2 Pd 2.59
Pd 0.5000 0.5000 0.0000 [1 per cell]  2 Sb 2.59

4.
Density functional theory data (PBE) for a relaxed structure of KRbPdSe2.

Computed properties:
The volume is 31.6 Å³ per atom. The total energy comes out at -3.636 eV/atom. The formation energy without anion corrections is -791 meV per atom.

Cell lengths 6.0015, 7.8153, 6.7475 Å; angles 90.00, 90.00, 90.00 degrees
Last column: nearest neighbours and their distance in Å.
Space group Pmma (No. 51)
Unique sites:
K 0.2500 0.0000 0.0949 [2 per cell]  2 Pd 3.12, 2 K 3.26, 2 Se 3.31
Rb 0.2500 0.5000 0.2905 [2 per cell]  6 Se 3.40-3.74
Pd 0.0000 0.0000 0.5000 [2 per cell]  4 Se 2.54
Se 0.2500 0.2157 0.6724 [4 per cell]  2 Pd 2.54

5.
Density functional theory data (PBE) for a relaxed structure of K2RbSnPd.

Computed properties:
The volume is 41.4 Å³ per atom. The total energy comes out at -2.596 eV/atom.

Cell lengths 6.2842, 6.2842, 5.2445 Å; angles 90.00, 90.00, 90.00 degrees
Last column: nearest neighbours and their distance in Å.
Space group P4/mmm (No. 123)
Unique sites:
K 0.0000 0.5000 0.0000 [2 per cell]  2 Pd 3.14
Rb 0.0000 0.0000 0.5000 [1 per cell]  8 K 4.09, 4 Sn 4.44
Sn 0.5000 0.5000 0.5000 [1 per cell]  2 Pd 2.62
Pd 0.5000 0.5000 0.0000 [1 per cell]  2 Sn 2.62

6.
Density functional theory data (PBE) for a relaxed structure of KRbSr2Pd.

Computed properties:
The volume is 51.7 Å³ per atom. The total energy comes out at -2.237 eV/atom. The distance to the lowest polymorph of the same formula is 6 meV/atom.

Cell lengths 6.0590, 6.0590, 7.0408 Å; angles 90.00, 90.00, 90.00 degrees
Last column: nearest neighbours and their distance in Å.
Space group P4/mmm (No. 123)
Unique sites:
K 0.0000 0.0000 0.0000 [1 per cell]  4 Rb 4.28, 8 Sr 4.64
Rb 0.5000 0.5000 0.0000 [1 per cell]  2 Pd 3.52
Sr 0.0000 0.5000 0.5000 [2 per cell]  2 Pd 3.03
Pd 0.5000 0.5000 0.5000 [1 per cell]  4 Sr 3.03

7.
Density functional theory data (PBE) for a relaxed structure of KRbSr2Pd.

Computed properties:
The volume is 51.0 Å³ per atom. The total energy comes out at -2.243 eV/atom. The distance to the lowest polymorph of the same formula is 0 meV/atom.

Cell lengths 6.0614, 6.0614, 6.9375 Å; angles 90.00, 90.00, 90.00 degrees
Last column: nearest neighbours and their distance in Å.
Space group P4/mmm (No. 123)
Unique sites:
K 0.0000 0.0000 0.0000 [1 per cell]  2 Pd 3.47
Rb 0.5000 0.5000 0.0000 [1 per cell]  4 K 4.29, 8 Sr 4.61
Sr 0.0000 0.5000 0.5000 [2 per cell]  2 Pd 3.03
Pd 0.0000 0.0000 0.5000 [1 per cell]  4 Sr 3.03

8.
Density functional theory data (PBE) for a relaxed structure of K6Rb2TlPd.

Computed properties:
The volume is 61.6 Å³ per atom. The total energy comes out at -1.579 eV/atom.

Cell lengths 9.5370, 9.5672, 13.5023 Å; angles 90.00, 90.00, 90.00 degrees
Last column: nearest neighbours and their distance in Å.
Space group Immm (No. 71)
Unique sites:
K 0.0000 0.0000 0.2366 [4 per cell]  1 Pd 3.20, 1 Tl 3.56
K 0.2365 0.2366 0.0000 [8 per cell]  1 Pd 3.20, 1 Tl 3.56
Rb 0.0000 0.5000 0.2501 [4 per cell]  12 K 4.77-4.79
Tl 0.0000 0.0000 0.5000 [2 per cell]  6 K 3.56
Pd 0.0000 0.0000 0.0000 [2 per cell]  6 K 3.20

9.
Density functional theory data (PBE) for a relaxed structure of K2RbTlPd.

Computed properties:
The volume is 47.4 Å³ per atom. The total energy comes out at -2.043 eV/atom. The distance to the lowest polymorph of the same formula is 147 meV/atom.

Cell lengths 6.6710, 6.6710, 5.3234 Å; angles 90.00, 90.00, 90.00 degrees
Last column: nearest neighbours and their distance in Å.
Space group P4/mmm (No. 123)
Unique sites:
K 0.0000 0.5000 0.0000 [2 per cell]  2 Tl 3.34
Rb 0.0000 0.0000 0.5000 [1 per cell]  8 K 4.27, 4 Pd 4.72
Tl 0.5000 0.5000 0.0000 [1 per cell]  2 Pd 2.66
Pd 0.5000 0.5000 0.5000 [1 per cell]  2 Tl 2.66

10.
Density functional theory data (PBE) for a relaxed structure of KRb2Tl12Pd3.

Computed properties:
The volume is 34.7 Å³ per atom. The total energy comes out at -2.594 eV/atom.

Cell lengths 9.9030, 9.9030, 22.0911 Å; angles 90.00, 90.00, 120.00 degrees
Last column: nearest neighbours and their distance in Å.
Space group R-3m (No. 166, hexagonal axes)
Unique sites:
K 0.0000 0.0000 0.0000 [3 per cell]  12 Tl 3.67-3.75
Rb 0.0000 0.0000 0.4182 [6 per cell]  6 Tl 3.54-3.61, 1 Rb 3.61
Tl 0.0703 0.5351 0.7978 [18 per cell]  2 Pd 2.73
Tl 0.0890 0.5445 0.3774 [18 per cell]  1 Pd 2.81
Pd 0.0000 0.5000 0.5000 [9 per cell]  6 Tl 2.73-2.81

11.
Density functional theory data (PBE) for a relaxed structure of KRbTl2Pd.

Computed properties:
The volume is 36.7 Å³ per atom. The total energy comes out at -2.482 eV/atom. The distance to the lowest polymorph of the same formula is 0 meV/atom.

Cell lengths 5.4485, 5.4485, 6.1744 Å; angles 90.00, 90.00, 90.00 degrees
Last column: nearest neighbours and their distance in Å.
Space group P4/mmm (No. 123)
Unique sites:
K 0.0000 0.0000 0.0000 [1 per cell]  2 Pd 3.09
Rb 0.5000 0.5000 0.0000 [1 per cell]  4 K 3.85, 8 Tl 4.12
Tl 0.0000 0.5000 0.5000 [2 per cell]  2 Pd 2.72
Pd 0.0000 0.0000 0.5000 [1 per cell]  4 Tl 2.72

12.
Density functional theory data (PBE) for a relaxed structure of KRbTl2Pd.

Computed properties:
The volume is 37.5 Å³ per atom. The total energy comes out at -2.448 eV/atom. The distance to the lowest polymorph of the same formula is 34 meV/atom.

Cell lengths 5.4594, 5.4594, 6.2898 Å; angles 90.00, 90.00, 90.00 degrees
Last column: nearest neighbours and their distance in Å.
Space group P4/mmm (No. 123)
Unique sites:
K 0.0000 0.0000 0.0000 [1 per cell]  4 Rb 3.86, 8 Tl 4.16
Rb 0.5000 0.5000 0.0000 [1 per cell]  2 Pd 3.14
Tl 0.0000 0.5000 0.5000 [2 per cell]  2 Pd 2.73
Pd 0.5000 0.5000 0.5000 [1 per cell]  4 Tl 2.73

13.
Density functional theory data (PBE) for a relaxed structure of K2RbTlPd.

Computed properties:
The volume is 44.2 Å³ per atom. The total energy comes out at -2.190 eV/atom. The distance to the lowest polymorph of the same formula is 0 meV/atom.

Cell lengths 6.3761, 6.3761, 5.4310 Å; angles 90.00, 90.00, 90.00 degrees
Last column: nearest neighbours and their distance in Å.
Space group P4/mmm (No. 123)
Unique sites:
K 0.0000 0.5000 0.0000 [2 per cell]  2 Pd 3.19
Rb 0.0000 0.0000 0.5000 [1 per cell]  8 K 4.19, 4 Tl 4.51
Tl 0.5000 0.5000 0.5000 [1 per cell]  2 Pd 2.72
Pd 0.5000 0.5000 0.0000 [1 per cell]  2 Tl 2.72